Nb2SnH2: optimized geometry, PBE.

The structure belongs to space group I4/mmm (No. 139); the cell edges are 3.601, 3.601 and 9.693 Å and the angles 90.00°, 90.00° and 90.00°. The distinct sites, in fractional coordinates, are Nb at (0.000, 0.000, 0.165), Sn at (0.000, 0.000, 0.500) and H at (0.000, 0.500, 0.250).

The total magnetization is 0.0 μB/cell. As for the excess energy over the best structure of this formula in the dataset: 0.0 meV per atom. Its total energy is -6.29 eV/atom. For the density of states at the Fermi level, the calculation gives 0.595 states/eV per atom.